Computed, not measured: crystalline Pu2NbZn at its relaxed geometry at the PBE level of DFT. Values from VASP.

Quantum ESPRESSO input file:
```
&SYSTEM
  ibrav = 0, nat = 4, ntyp = 3
/
ATOMIC_SPECIES
Pu 244.00 Pu.upf
Nb 92.91 Nb.upf
Zn 65.41 Zn.upf
ATOMIC_POSITIONS angstrom
Pu 0.0000 2.0967 0.0000
Pu 2.0967 0.0000 0.0000
Nb 0.0000 0.0000 2.3124
Zn 2.0967 2.0967 2.3124
CELL_PARAMETERS angstrom
4.1935 0.0000 0.0000
0.0000 4.1935 0.0000
0.0000 0.0000 4.6248
```

Properties
- Offset from the most stable computed form: 0 meV per atom
- Space-group type: P4/mmm (123)
- Formation enthalpy at 0 K: 0.135 eV per atom
- DFT total energy: -9.867 eV/atom
- Magnetization: 9.74 μB/f.u.
- Density: 13.20 Mg/m³